(1)
Here is crystalline Rb3HfS at its relaxed geometry from Alexandria via LeMat-Bulk. Energies are from PBE-GGA.

Cell: 6.4276 6.4276 6.4276 Å, 90.00 90.00 90.00°
Last column: magnetic moment on the atom in μB.
Fractional coordinates of all 5 atoms:
1 S 0.0000 0.0000 0.0000  0.01
2 Hf 0.5000 0.5000 0.5000  1.49
3 Rb 0.0000 0.5000 0.0000  0.01
4 Rb 0.0000 0.0000 0.5000  0.02
5 Rb 0.5000 0.0000 0.0000  0.01

Calculated values
Distance to the lowest polymorph of the same formula in meV/atom: 0.0
Crystal system: cubic
ΔE_f (raw) in meV/atom: 518
Energy in eV per atom: -2.878
Space-group type: Pm-3m, No. 221

(2)
Here is crystalline Bi3PPb at its relaxed geometry from Alexandria via LeMat-Bulk. Energies are from PBE-GGA.

Cell: 5.8641 5.8641 5.8641 Å, 90.00 90.00 90.00°
Fractional coordinates of all 5 atoms:
1 Pb 0.0000 0.0000 0.0000
2 P 0.5000 0.5000 0.5000
3 Bi 0.0000 0.5000 0.0000
4 Bi 0.0000 0.0000 0.5000
5 Bi 0.5000 0.0000 0.0000

Calculated values
Distance to the lowest polymorph of the same formula in meV/atom: 905.1
Formation energy from the elements in eV per atom: 1.297
Crystal system: cubic
Energy in eV per atom: -2.856
Space-group type: Pm-3m, No. 221

(3)
Here is crystalline K5Pr3Cl12 at its relaxed geometry from Alexandria via LeMat-Bulk. Energies are from PBE-GGA.

Cell: 15.2001 15.2001 15.2001 Å, 109.47 109.47 109.47°
Last column: magnetic moment on the atom in μB.
Fractional coordinates of all 80 atoms:
1 Pr 0.7500 0.3750 0.1250  0.32
2 Pr 0.8750 0.7500 0.1250  0.32
3 Pr 0.3750 0.7500 0.6250  0.32
4 Pr 0.2500 0.1250 0.3750  0.32
5 Pr 0.8750 0.1250 0.2500  0.32
6 Pr 0.3750 0.6250 0.2500  0.32
7 Pr 0.6250 0.3750 0.7500  0.32
8 Pr 0.1250 0.8750 0.7500  0.32
9 Pr 0.7500 0.8750 0.6250  0.32
10 Pr 0.6250 0.2500 0.3750  0.32
11 Pr 0.1250 0.2500 0.8750  0.32
12 Pr 0.2500 0.6250 0.8750  0.32
13 K 0.1250 0.3750 0.2500  0.01
14 K 0.0000 0.5000 0.0000  0.00
15 K 0.0000 0.0000 0.0000  0.00
16 K 0.3750 0.2500 0.1250  0.01
17 K 0.5000 0.0000 0.5000  0.00
18 K 0.5000 0.5000 0.0000  0.00
19 K 0.1250 0.7500 0.3750  0.01
20 K 0.7500 0.1250 0.8750  0.01
21 K 0.7500 0.6250 0.3750  0.01
22 K 0.3750 0.1250 0.7500  0.01
23 K 0.6250 0.8750 0.2500  0.01
24 K 0.5000 0.5000 0.5000  0.00
25 K 0.5000 0.0000 0.0000  0.00
26 K 0.0000 0.0000 0.5000  0.00
27 K 0.2500 0.3750 0.6250  0.01
28 K 0.2500 0.8750 0.1250  0.01
29 K 0.0000 0.5000 0.5000  0.00
30 K 0.8750 0.2500 0.6250  0.01
31 K 0.6250 0.7500 0.8750  0.01
32 K 0.8750 0.6250 0.7500  0.01
33 Cl 0.7389 0.1269 0.0685  0.00
34 Cl 0.3296 0.5685 0.4415  0.00
35 Cl 0.9315 0.3731 0.2611  0.00
36 Cl 0.5685 0.2389 0.1269  0.00
37 Cl 0.6119 0.7389 0.6704  0.00
38 Cl 0.9315 0.5585 0.1704  0.00
39 Cl 0.3296 0.7611 0.3881  0.00
40 Cl 0.0585 0.8881 0.1269  0.00
41 Cl 0.5585 0.9315 0.6704  0.00
42 Cl 0.7389 0.6119 0.1704  0.00
43 Cl 0.7611 0.4315 0.3731  0.00
44 Cl 0.8296 0.9415 0.0685  0.00
45 Cl 0.1269 0.7389 0.5685  0.00
46 Cl 0.3731 0.4415 0.1119  0.00
47 Cl 0.1119 0.9415 0.3731  0.00
48 Cl 0.3881 0.1269 0.5585  0.00
49 Cl 0.1119 0.1704 0.2389  0.00
50 Cl 0.4315 0.6704 0.0585  0.00
51 Cl 0.8296 0.8881 0.2611  0.00
52 Cl 0.1269 0.3881 0.0585  0.00
53 Cl 0.3731 0.9315 0.7611  0.00
54 Cl 0.5585 0.6269 0.3881  0.00
55 Cl 0.9415 0.8296 0.5685  0.00
56 Cl 0.7611 0.3296 0.8881  0.00
57 Cl 0.4415 0.3731 0.6119  0.00
58 Cl 0.0585 0.1704 0.4315  0.00
59 Cl 0.2389 0.6704 0.1119  0.00
60 Cl 0.1704 0.1119 0.7389  0.00
61 Cl 0.6269 0.0685 0.2389  0.00
62 Cl 0.8731 0.6119 0.9415  0.00
63 Cl 0.5685 0.3296 0.9415  0.00
64 Cl 0.6119 0.8731 0.4415  0.00
65 Cl 0.8881 0.8296 0.7611  0.00
66 Cl 0.8881 0.0585 0.6269  0.00
67 Cl 0.8731 0.2611 0.4315  0.00
68 Cl 0.1704 0.0585 0.9315  0.00
69 Cl 0.6269 0.5585 0.8881  0.00
70 Cl 0.4415 0.0685 0.3296  0.00
71 Cl 0.2611 0.3881 0.8296  0.00
72 Cl 0.2389 0.5685 0.6269  0.00
73 Cl 0.9415 0.1119 0.8731  0.00
74 Cl 0.6704 0.2389 0.6119  0.00
75 Cl 0.4315 0.7611 0.8731  0.00
76 Cl 0.0685 0.4415 0.8296  0.00
77 Cl 0.3881 0.2611 0.3296  0.00
78 Cl 0.0685 0.6269 0.7389  0.00
79 Cl 0.6704 0.4315 0.5585  0.00
80 Cl 0.2611 0.8731 0.9315  0.00

Calculated values
Crystal system: cubic
ΔE_f (raw) in meV/atom: -1840
Energy in eV per atom: -3.939
Space-group type: Ia-3d, No. 230

(4)
Here is crystalline Er3Tm6Al at its relaxed geometry from Alexandria via LeMat-Bulk. Energies are from PBE-GGA.

Cell: 5.3905 9.4965 12.5172 Å, 115.44 90.00 90.00°
Fractional coordinates of all 20 atoms:
1 Er 0.7500 0.8576 0.3790
2 Er 0.2500 0.1424 0.6210
3 Er 0.7500 0.3730 0.7758
4 Er 0.2500 0.6270 0.2242
5 Er 0.7500 0.2020 0.9739
6 Er 0.2500 0.7980 0.0261
7 Tm 0.7500 0.6111 0.0714
8 Tm 0.2500 0.3889 0.9286
9 Tm 0.7500 0.0236 0.1718
10 Tm 0.2500 0.9764 0.8282
11 Tm 0.7500 0.9665 0.6721
12 Tm 0.2500 0.0335 0.3279
13 Tm 0.7500 0.2617 0.4857
14 Tm 0.2500 0.7383 0.5143
15 Tm 0.7500 0.4610 0.3068
16 Tm 0.2500 0.5390 0.6932
17 Tm 0.7500 0.7787 0.8562
18 Tm 0.2500 0.2213 0.1438
19 Al 0.7500 0.6139 0.5848
20 Al 0.2500 0.3861 0.4152

Calculated values
Formation energy from the elements in eV per atom: -0.054
Crystal system: monoclinic
Energy in eV per atom: -4.480
Space-group type: P2_1/m, No. 11

(5)
Here is crystalline Ca2SbPbAu at its relaxed geometry from Alexandria via LeMat-Bulk. Energies are from PBE-GGA.

Cell: 5.5606 5.4722 5.5606 Å, 90.00 90.00 90.00°
Fractional coordinates of all 5 atoms:
1 Pb 0.5000 0.5000 0.5000
2 Sb 0.0000 0.5000 0.0000
3 Ca 0.0000 0.0000 0.5000
4 Ca 0.5000 0.0000 0.0000
5 Au 0.0000 0.0000 0.0000

Calculated values
Crystal system: tetragonal
ΔE_f (raw) in meV/atom: -257
Energy in eV per atom: -3.279
Space-group type: P4/mmm, No. 123

(6)
Here is crystalline In2AgBiBr6 at its relaxed geometry from Alexandria via LeMat-Bulk. Energies are from PBE-GGA.

Cell: 7.5515 8.1475 10.9779 Å, 90.00 89.27 90.00°
Fractional coordinates of all 20 atoms:
1 In 0.0331 0.9098 0.2514
2 In 0.5331 0.5902 0.7514
3 In 0.9669 0.0902 0.7486
4 In 0.4669 0.4098 0.2486
5 Ag 0.5000 0.0000 0.0000
6 Ag 0.0000 0.5000 0.5000
7 Bi 0.5000 0.0000 0.5000
8 Bi 0.0000 0.5000 0.0000
9 Br 0.3138 0.6914 0.0511
10 Br 0.8138 0.8086 0.5511
11 Br 0.6862 0.3086 0.9489
12 Br 0.1862 0.1914 0.4489
13 Br 0.3144 0.6957 0.4503
14 Br 0.8144 0.8043 0.9503
15 Br 0.6856 0.3043 0.5497
16 Br 0.1856 0.1957 0.0497
17 Br 0.8909 0.5242 0.2533
18 Br 0.3909 0.9758 0.7533
19 Br 0.1091 0.4758 0.7467
20 Br 0.6091 0.0242 0.2467

Calculated values
Crystal system: monoclinic
ΔE_f (raw) in meV/atom: -623
Energy in eV per atom: -2.848
Space-group type: P2_1/c, No. 14

(7)
Here is crystalline AcEu2Er at its relaxed geometry from Alexandria via LeMat-Bulk. Energies are from PBE-GGA.

Cell: 4.3420 5.9881 5.9881 Å, 90.00 90.00 90.00°
Last column: magnetic moment on the atom in μB.
Fractional coordinates of all 4 atoms:
1 Eu 0.0000 0.0000 0.5000  6.88
2 Eu 0.0000 0.5000 0.0000  6.88
3 Ac 0.5000 0.5000 0.5000  0.10
4 Er 0.5000 0.0000 0.0000  0.15

Calculated values
Distance to the lowest polymorph of the same formula in meV/atom: 46.2
Formation energy from the elements in eV per atom: 0.145
Crystal system: tetragonal
Energy in eV per atom: -7.160
Space-group type: P4/mmm, No. 123

(8)
Here is crystalline La2ScTl2 at its relaxed geometry from Alexandria via LeMat-Bulk. Energies are from PBE-GGA.

Cell: 8.0595 8.0595 4.7987 Å, 90.00 90.00 90.00°
Fractional coordinates of all 10 atoms:
1 Sc 0.0000 0.0000 0.0000
2 Sc 0.5000 0.5000 0.0000
3 Tl 0.3636 0.8636 0.0000
4 Tl 0.8636 0.6364 0.0000
5 Tl 0.6364 0.1364 0.0000
6 Tl 0.1364 0.3636 0.0000
7 La 0.1681 0.6681 0.5000
8 La 0.6681 0.8319 0.5000
9 La 0.8319 0.3319 0.5000
10 La 0.3319 0.1681 0.5000

Calculated values
Distance to the lowest polymorph of the same formula in meV/atom: 1.7
Formation energy from the elements in eV per atom: -0.307
Crystal system: tetragonal
Energy in eV per atom: -4.491
Space-group type: P4/mbm, No. 127

(9)
Here is crystalline Rb2BiPbCl8 at its relaxed geometry from Alexandria via LeMat-Bulk. Energies are from PBE-GGA.

Cell: 7.3939 6.9320 8.6697 Å, 90.00 90.00 92.69°
Last column: magnetic moment on the atom in μB.
Fractional coordinates of all 12 atoms:
1 Rb 0.5000 0.4997 0.7522  0.00
2 Rb 0.5000 0.5003 0.2478  0.00
3 Bi 0.0000 0.0000 0.0000  0.00
4 Pb 0.0000 0.0000 0.5000  0.15
5 Cl 0.1221 0.7788 0.2459  0.05
6 Cl 0.6871 0.7895 0.9999  0.00
7 Cl 0.8776 0.2210 0.2459  0.05
8 Cl 0.8779 0.2212 0.7541  0.05
9 Cl 0.3129 0.2105 0.0001  0.00
10 Cl 0.1224 0.7790 0.7541  0.05
11 Cl 0.6864 0.7972 0.5001  0.14
12 Cl 0.3136 0.2028 0.4999  0.14

Calculated values
Crystal system: monoclinic
ΔE_f (raw) in meV/atom: -1232
Energy in eV per atom: -3.257
Space-group type: P2/m, No. 10

(10)
Here is crystalline Cs2TlH6 at its relaxed geometry from Alexandria via LeMat-Bulk. Energies are from PBE-GGA.

Cell: 4.9315 6.2350 7.9442 Å, 113.11 128.61 90.00°
Fractional coordinates of all 9 atoms:
1 Cs 0.0494 0.6650 0.3299
2 Cs 0.9506 0.3350 0.6701
3 Tl 0.0000 0.0000 0.0000
4 H 0.3742 0.3038 0.1569
5 H 0.9336 0.8543 0.7086
6 H 0.3742 0.8531 0.1569
7 H 0.6258 0.6962 0.8431
8 H 0.0664 0.1457 0.2914
9 H 0.6258 0.1469 0.8431

Calculated values
Distance to the lowest polymorph of the same formula in meV/atom: 244.1
Crystal system: monoclinic
Energy in eV per atom: -2.436
Space-group type: C2/m, No. 12

(11)
Here is crystalline KMg2In4Hg at its relaxed geometry from Alexandria via LeMat-Bulk. Energies are from PBE-GGA.

Cell: 5.1017 5.1017 10.9052 Å, 76.47 76.47 60.00°
Fractional coordinates of all 8 atoms:
1 K 0.0000 0.0000 0.0000
2 Mg 0.7662 0.7662 0.7015
3 Mg 0.2338 0.2338 0.2985
4 In 0.4032 0.4032 0.7904
5 In 0.8744 0.8744 0.3767
6 In 0.1256 0.1256 0.6233
7 In 0.5968 0.5968 0.2096
8 Hg 0.5000 0.5000 0.5000

Calculated values
Formation energy from the elements in eV per atom: -0.029
Crystal system: trigonal
Energy in eV per atom: -1.971
Space-group type: R-3m, No. 166

(12)
Here is crystalline TmHfZnGa at its relaxed geometry from Alexandria via LeMat-Bulk. Energies are from PBE-GGA.

Cell: 4.8138 4.8138 4.8138 Å, 60.00 60.00 60.00°
Fractional coordinates of all 4 atoms:
1 Zn 0.0000 0.0000 0.0000
2 Tm 0.2500 0.2500 0.2500
3 Hf 0.7500 0.7500 0.7500
4 Ga 0.5000 0.5000 0.5000

Calculated values
Formation energy from the elements in eV per atom: -0.330
Crystal system: cubic
Energy in eV per atom: -5.012
Space-group type: F-43m, No. 216

(13)
Here is crystalline Be2Hg at its relaxed geometry from Alexandria via LeMat-Bulk. Energies are from PBE-GGA.

Cell: 2.8854 2.8854 5.9625 Å, 90.00 90.00 120.00°
Fractional coordinates of all 3 atoms:
1 Be 0.6667 0.3333 0.6310
2 Be 0.3333 0.6667 0.3690
3 Hg 0.0000 0.0000 0.0000

Calculated values
Distance to the lowest polymorph of the same formula in meV/atom: 389.5
Formation energy from the elements in eV per atom: 0.653
Crystal system: trigonal
Energy in eV per atom: -1.932
Space-group type: P-3m1, No. 164

(14)
Here is crystalline MnOsRu4 at its relaxed geometry from Alexandria via LeMat-Bulk. Energies are from PBE-GGA.

Cell: 5.0231 5.0231 5.0231 Å, 60.00 60.00 60.00°
Last column: magnetic moment on the atom in μB.
Fractional coordinates of all 6 atoms:
1 Mn 0.2500 0.2500 0.2500  3.60
2 Os 0.0000 0.0000 0.0000  -0.22
3 Ru 0.6249 0.6249 0.1253  0.09
4 Ru 0.6249 0.1253 0.6249  0.09
5 Ru 0.6249 0.6249 0.6249  0.09
6 Ru 0.1253 0.6249 0.6249  0.09

Calculated values
Distance to the lowest polymorph of the same formula in meV/atom: 504.0
Formation energy from the elements in eV per atom: 0.603
Crystal system: cubic
Energy in eV per atom: -8.981
Space-group type: F-43m, No. 216

(15)
Here is crystalline Ca2HoGaSe5 at its relaxed geometry from Alexandria via LeMat-Bulk. Energies are from PBE-GGA.

Cell: 4.0065 9.4103 12.4746 Å, 90.00 90.00 102.29°
Fractional coordinates of all 18 atoms:
1 Ca 0.8774 0.7549 0.8228
2 Ca 0.1170 0.2340 0.6782
3 Ca 0.1226 0.2451 0.3228
4 Ca 0.8830 0.7660 0.1782
5 Ho 0.7928 0.5856 0.5253
6 Ho 0.2072 0.4144 0.0253
7 Ga 0.5571 0.1142 0.9341
8 Ga 0.4429 0.8858 0.4341
9 Se 0.3578 0.7155 0.0048
10 Se 0.6833 0.3665 0.8616
11 Se 0.4967 0.9934 0.7666
12 Se 0.2930 0.5859 0.6818
13 Se 0.9555 0.9110 0.5489
14 Se 0.6422 0.2845 0.5048
15 Se 0.3167 0.6335 0.3616
16 Se 0.5033 0.0066 0.2666
17 Se 0.7070 0.4141 0.1818
18 Se 0.0445 0.0890 0.0489

Calculated values
Crystal system: orthorhombic
ΔE_f (raw) in meV/atom: -1551
Energy in eV per atom: -4.776
Space-group type: Cmc2_1, No. 36

(16)
Here is crystalline MoAs2Se at its relaxed geometry from Alexandria via LeMat-Bulk. Energies are from PBE-GGA.

Cell: 5.9322 5.9322 7.1474 Å, 65.48 65.48 90.00°
Fractional coordinates of all 8 atoms:
1 Mo 0.0000 0.0000 0.0000
2 Mo 0.7500 0.2500 0.5000
3 As 0.6658 0.1250 0.2500
4 As 0.0842 0.6250 0.2500
5 As 0.3750 0.3342 0.7500
6 As 0.8750 0.9158 0.7500
7 Se 0.5000 0.5000 0.0000
8 Se 0.2500 0.7500 0.5000

Calculated values
Crystal system: tetragonal
ΔE_f (raw) in meV/atom: 428
Energy in eV per atom: -5.475
Space-group type: I-42d, No. 122

(17)
Here is crystalline LaNi3S at its relaxed geometry from Alexandria via LeMat-Bulk. Energies are from PBE-GGA.

Cell: 4.3424 4.3424 4.3424 Å, 90.00 90.00 90.00°
Fractional coordinates of all 5 atoms:
1 Ni 0.0000 0.5000 0.0000
2 Ni 0.0000 0.0000 0.5000
3 Ni 0.5000 0.0000 0.0000
4 S 0.0000 0.0000 0.0000
5 La 0.5000 0.5000 0.5000

Calculated values
Distance to the lowest polymorph of the same formula in meV/atom: 0.0
Crystal system: cubic
ΔE_f (raw) in meV/atom: -345
Energy in eV per atom: -5.624
Space-group type: Pm-3m, No. 221

(18)
Here is crystalline B2C at its relaxed geometry from Alexandria via LeMat-Bulk. Energies are from PBE-GGA.

Cell: 6.0851 6.0851 5.6854 Å, 75.25 75.25 25.76°
Fractional coordinates of all 12 atoms:
1 B 0.0598 0.0598 0.2080
2 B 0.6772 0.6772 0.1415
3 B 0.0024 0.0024 0.5059
4 B 0.0701 0.0701 0.7336
5 B 0.3043 0.3043 0.2539
6 B 0.4876 0.4876 0.6942
7 B 0.6808 0.6808 0.6317
8 B 0.3139 0.3139 0.8601
9 C 0.9892 0.9892 0.0085
10 C 0.7501 0.7501 0.3531
11 C 0.7496 0.7496 0.8452
12 C 0.4150 0.4150 0.0144

Calculated values
Distance to the lowest polymorph of the same formula in meV/atom: 199.8
Formation energy from the elements in eV per atom: 0.385
Crystal system: monoclinic
Energy in eV per atom: -7.141
Space-group type: Cm, No. 8

(19)
Here is crystalline Ho2BiTe4 at its relaxed geometry from Alexandria via LeMat-Bulk. Energies are from PBE-GGA.

Cell: 4.2690 7.6411 8.8273 Å, 116.60 103.99 90.00°
Fractional coordinates of all 7 atoms:
1 Ho 0.7425 0.7632 0.4850
2 Ho 0.2575 0.2368 0.5150
3 Bi 0.0000 0.0000 0.0000
4 Te 0.8754 0.2061 0.7508
5 Te 0.1246 0.7939 0.2492
6 Te 0.6408 0.3065 0.2816
7 Te 0.3592 0.6935 0.7184

Calculated values
Crystal system: monoclinic
ΔE_f (raw) in meV/atom: -943
Energy in eV per atom: -4.601
Space-group type: C2/m, No. 12

(20)
Here is crystalline YTe2SBr at its relaxed geometry from Alexandria via LeMat-Bulk. Energies are from PBE-GGA.

Cell: 5.3697 5.2964 5.3697 Å, 90.00 90.00 90.00°
Fractional coordinates of all 5 atoms:
1 Y 0.0000 0.5000 0.0000
2 S 0.0000 0.0000 0.0000
3 Te 0.0000 0.0000 0.5000
4 Te 0.5000 0.0000 0.0000
5 Br 0.5000 0.5000 0.5000

Calculated values
Distance to the lowest polymorph of the same formula in meV/atom: 0.0
Crystal system: tetragonal
ΔE_f (raw) in meV/atom: -269
Energy in eV per atom: -3.979
Space-group type: P4/mmm, No. 123